Record 1
First-principles (PBE) data for crystalline YBiOsO6 at its relaxed geometry, as listed in the Alexandria database.

Unit cell a=5.569 b=5.569 c=9.602 alpha=90.00 beta=90.00 gamma=120.00
Element x y z (fractional)
Y1 0.333 0.667 0.250
Y2 0.667 0.333 0.750
Bi1 0.000 0.000 0.000
Bi2 0.000 0.000 0.500
Os1 0.333 0.667 0.750
Os2 0.667 0.333 0.250
O1 0.042 0.379 0.636
O2 0.042 0.663 0.864
O3 0.337 0.379 0.864
O4 0.337 0.958 0.636
O5 0.379 0.042 0.136
O6 0.379 0.337 0.364
O7 0.621 0.663 0.636
O8 0.621 0.958 0.864
O9 0.663 0.042 0.364
O10 0.663 0.621 0.136
O11 0.958 0.337 0.136
O12 0.958 0.621 0.364

Summary:
- density of states at the Fermi level (states/eV/atom) = 0.48
- raw total energy (hartree per atom) = -0.2724
- formation energy (no corrections) (eV per atom) = -1.71

=====

Record 2
First-principles (PBE) data for crystalline TiHRh2Au at its relaxed geometry, as listed in the Alexandria database.

Unit cell a=3.986 b=3.986 c=3.969 alpha=90.00 beta=90.00 gamma=90.00
Element x y z (fractional)
Ti1 0.000 0.000 0.000
H1 0.000 0.000 0.500
Rh1 0.000 0.500 0.500
Rh2 0.500 0.000 0.500
Au1 0.500 0.500 0.000

Summary:
- density of states at the Fermi level (states/eV/atom) = 0.29
- raw total energy (hartree per atom) = -0.2300
- relative energy among the computed polymorphs (meV per atom) = 0

=====

Question: The lowest density of states at the Fermi level belongs to which entry?
Answer: TiHRh2Au

=====

Question: Number 1 is which compound?
Answer: YBiOsO6

=====

Question: The highest raw total energy belongs to which entry?
Answer: TiHRh2Au

=====

Question: Which of these has the highest density of states at the Fermi level?
Answer: YBiOsO6